USnBi | PBE | relaxed

a b c (Å): 5.1996 5.1996 5.1996
angles (deg): 60.00 60.00 60.00
With the nearest neighbours (Å) after each atom.
Atoms (fractional coordinates):
U 0.0000 0.0000 0.0000  4 Bi 3.18, 4 Sn 3.18
Sn 0.2500 0.2500 0.2500  4 U 3.18
Bi 0.7500 0.7500 0.7500  4 U 3.18

Output
Symmetry ... No. 216
Crystal system ... cubic
Calculated total energy ... -6.08 eV/atom

TbReAs | PBE | relaxed

a b c (Å): 4.4801 4.4801 4.4801
angles (deg): 60.00 60.00 60.00
With the nearest neighbours (Å) after each atom.
Atoms (fractional coordinates):
Tb 0.0000 0.0000 0.0000  4 As 2.74
Re 0.5000 0.5000 0.5000  4 As 2.74
As 0.7500 0.7500 0.7500  4 Re 2.74, 4 Tb 2.74

Output
Symmetry ... No. 216
Crystal system ... cubic
Calculated total energy ... -7.06 eV/atom

PmAl5Ir | PBE | relaxed

a b c (Å): 4.3333 4.3333 7.0378
angles (deg): 90.00 90.00 90.00
With the nearest neighbours (Å) after each atom.
Atoms (fractional coordinates):
Pm 0.0000 0.0000 0.0000  12 Al 3.06-3.07
Al 0.0000 0.5000 0.3081  2 Ir 2.55, 1 Al 2.70
Al 0.0000 0.5000 0.6919  2 Ir 2.55, 1 Al 2.70
Al 0.5000 0.0000 0.3081  2 Ir 2.55, 1 Al 2.70
Al 0.5000 0.0000 0.6919  2 Ir 2.55, 1 Al 2.70
Al 0.5000 0.5000 0.0000  4 Pm 3.06, 8 Al 3.07
Ir 0.0000 0.0000 0.5000  8 Al 2.55

Output
Symmetry ... No. 123
Crystal system ... tetragonal
Calculated total energy ... -5.24 eV/atom

FeP4Os | PBE | relaxed

a b c (Å): 5.0329 2.8513 5.7827
angles (deg): 90.00 90.05 90.00
With the nearest neighbours (Å) after each atom.
Atoms (fractional coordinates):
Fe 0.0000 0.0000 0.0000  6 P 2.24-2.28
P 0.1571 0.0000 0.6371  1 P 2.24, 1 Fe 2.24, 2 Os 2.38
P 0.3247 0.5000 0.1229  1 P 2.27, 2 Fe 2.28, 1 Os 2.35
P 0.6753 0.5000 0.8771  1 P 2.27, 2 Fe 2.28, 1 Os 2.35
P 0.8429 0.0000 0.3629  1 P 2.24, 1 Fe 2.24, 2 Os 2.38
Os 0.5000 0.5000 0.5000  6 P 2.35-2.38

Output
Symmetry ... No. 10
Crystal system ... monoclinic
Calculated total energy ... -7.36 eV/atom

ScAgGeSeS2 | PBE | relaxed

a b c (Å): 7.1594 7.1594 10.3098
angles (deg): 90.00 90.00 149.60
With the nearest neighbours (Å) after each atom.
Atoms (fractional coordinates):
Sc 0.0000 0.0000 0.0000  4 S 2.59, 2 Se 2.67
Sc 0.0000 0.0000 0.5000  4 S 2.59, 2 Se 2.67
Ag 0.3403 0.6597 0.7500  2 S 2.44
Ag 0.6597 0.3403 0.2500  2 S 2.44
Ge 0.3224 0.6776 0.2500  2 Se 2.57, 2 S 2.84
Ge 0.6776 0.3224 0.7500  2 Se 2.57, 2 S 2.84
Se 0.0505 0.9495 0.7500  2 Ge 2.57, 2 Sc 2.67
Se 0.9495 0.0505 0.2500  2 Ge 2.57, 2 Sc 2.67
S 0.3714 0.6286 0.5172  1 Ag 2.44, 2 Sc 2.59
S 0.3714 0.6286 0.9828  1 Ag 2.44, 2 Sc 2.59
S 0.6286 0.3714 0.0172  1 Ag 2.44, 2 Sc 2.59
S 0.6286 0.3714 0.4828  1 Ag 2.44, 2 Sc 2.59

Output
Symmetry ... No. 63
Crystal system ... orthorhombic
Calculated total energy ... -5.04 eV/atom

LuSnMo2 | PBE | relaxed

a b c (Å): 4.7495 4.7495 4.7495
angles (deg): 60.00 60.00 60.00
With the nearest neighbours (Å) after each atom.
Atoms (fractional coordinates):
Lu 0.0000 0.0000 0.0000  4 Sn 2.91, 4 Mo 2.91
Sn 0.7500 0.7500 0.7500  4 Lu 2.91, 4 Mo 2.91
Mo 0.2500 0.2500 0.2500  4 Mo 2.91, 4 Lu 2.91
Mo 0.5000 0.5000 0.5000  4 Sn 2.91, 4 Mo 2.91

Output
Symmetry ... No. 216
Crystal system ... cubic
Calculated total energy ... -7.45 eV/atom

TaPtNO | PBE | relaxed

a b c (Å): 3.5428 3.5428 7.1470
angles (deg): 90.00 90.00 90.00
With the nearest neighbours (Å) after each atom.
Atoms (fractional coordinates):
Ta 0.2500 0.2500 0.1791  4 O 2.19
Ta 0.7500 0.7500 0.8209  4 O 2.19
Pt 0.2500 0.7500 0.5000  4 Pt 2.51, 4 N 2.52
Pt 0.7500 0.2500 0.5000  4 Pt 2.51, 4 N 2.52
N 0.2500 0.2500 0.7502  4 O 2.51, 4 Pt 2.52, 4 Ta 2.56
N 0.7500 0.7500 0.2498  4 O 2.51, 4 Pt 2.52, 4 Ta 2.56
O 0.2500 0.7500 0.0000  4 Ta 2.19
O 0.7500 0.2500 0.0000  4 Ta 2.19

Output
Excess energy over the best structure of this formula in the dataset ... 884 meV per atom
Symmetry ... No. 129
Crystal system ... tetragonal

Li2YCd | PBE | relaxed

a b c (Å): 4.9447 4.9447 4.9447
angles (deg): 60.00 60.00 60.00
With the nearest neighbours (Å) after each atom.
Atoms (fractional coordinates):
Li 0.0000 0.0000 0.0000  4 Cd 3.03, 4 Li 3.03
Li 0.2500 0.2500 0.2500  4 Y 3.03, 4 Li 3.03
Y 0.5000 0.5000 0.5000  4 Cd 3.03, 4 Li 3.03
Cd 0.7500 0.7500 0.7500  4 Y 3.03, 4 Li 3.03

Output
Symmetry ... No. 216
Crystal system ... cubic
Calculated total energy ... -2.87 eV/atom

Zn2Ge | PBE | relaxed

a b c (Å): 7.7744 7.7744 7.7744
angles (deg): 60.00 60.00 60.00
With the nearest neighbours (Å) after each atom.
Atoms (fractional coordinates):
Zn 0.0000 0.0000 0.0000  2 Ge 2.38
Zn 0.0000 0.0000 0.5000  2 Ge 2.38
Zn 0.0000 0.5000 0.0000  2 Ge 2.38
Zn 0.5000 0.0000 0.0000  2 Ge 2.38
Ge 0.1250 0.1250 0.1250  4 Zn 2.38
Ge 0.8750 0.8750 0.8750  4 Zn 2.38

Output
Symmetry ... No. 227
Crystal system ... cubic
Calculated total energy ... -2.05 eV/atom

SnPd4C2Se | PBE | relaxed

a b c (Å): 3.2713 3.2713 13.2222
angles (deg): 90.00 90.00 120.00
With the nearest neighbours (Å) after each atom.
Atoms (fractional coordinates):
Sn 0.0000 0.0000 0.0000  6 Pd 3.01, 6 Sn 3.27
Pd 0.0000 0.0000 0.3422  3 C 2.18
Pd 0.0000 0.0000 0.6578  3 C 2.18
Pd 0.6667 0.3333 0.1772  3 C 2.19
Pd 0.6667 0.3333 0.8228  3 C 2.19
C 0.3333 0.6667 0.2604  6 Pd 2.18-2.19
C 0.3333 0.6667 0.7396  6 Pd 2.18-2.19
Se 0.6667 0.3333 0.5000  6 Pd 2.81

Output
Symmetry ... No. 187
Crystal system ... hexagonal
Calculated total energy ... -5.26 eV/atom

LuGeAuO3 | PBE | relaxed

a b c (Å): 6.4738 6.4738 8.1569
angles (deg): 90.00 90.00 150.03
With the nearest neighbours (Å) after each atom.
Atoms (fractional coordinates):
Lu 0.0000 0.0000 0.0000  6 O 2.20-2.22
Lu 0.0000 0.0000 0.5000  6 O 2.20-2.22
Ge 0.3336 0.6664 0.7500  4 O 2.06-2.11
Ge 0.6664 0.3336 0.2500  4 O 2.06-2.11
Au 0.3395 0.6605 0.2500  2 O 2.15
Au 0.6605 0.3395 0.7500  2 O 2.15
O 0.0701 0.9299 0.2500  2 Ge 2.06, 2 Lu 2.22
O 0.3858 0.6142 0.5039  1 Ge 2.11, 1 Au 2.15, 2 Lu 2.20
O 0.3858 0.6142 0.9961  1 Ge 2.11, 1 Au 2.15, 2 Lu 2.20
O 0.6142 0.3858 0.0039  1 Ge 2.11, 1 Au 2.15, 2 Lu 2.20
O 0.6142 0.3858 0.4961  1 Ge 2.11, 1 Au 2.15, 2 Lu 2.20
O 0.9299 0.0701 0.7500  2 Ge 2.06, 2 Lu 2.22

Output
Symmetry ... No. 63
Crystal system ... orthorhombic
Calculated total energy ... -6.35 eV/atom

NdDy2Al3NiAu2 | PBE | relaxed

a b c (Å): 4.1121 7.2288 7.2288
angles (deg): 119.88 90.00 90.00
With the nearest neighbours (Å) after each atom.
Atoms (fractional coordinates):
Nd 0.0000 0.0000 0.0000  1 Ni 2.98, 4 Au 3.06, 4 Al 3.28
Dy 0.0000 0.4035 0.8045  1 Ni 2.87, 4 Au 2.99-3.00
Dy 0.0000 0.8045 0.4035  1 Ni 2.87, 4 Au 2.99-3.00
Al 0.5000 0.1842 0.4068  2 Ni 2.62, 2 Al 2.77-2.79, 1 Au 2.82
Al 0.5000 0.4068 0.1842  2 Ni 2.62, 2 Al 2.77-2.79, 1 Au 2.82
Al 0.5000 0.6260 0.6260  2 Ni 2.58, 2 Al 2.77
Ni 0.0000 0.4111 0.4111  6 Al 2.58-2.62, 2 Dy 2.87
Au 0.5000 0.0731 0.7289  3 Al 2.82-2.96, 4 Dy 2.99-3.00, 2 Nd 3.06
Au 0.5000 0.7289 0.0731  3 Al 2.82-2.96, 4 Dy 2.99-3.00, 2 Nd 3.06

Output
Symmetry ... No. 38
Crystal system ... orthorhombic
Calculated total energy ... -4.87 eV/atom